1.
! MgGeF | the Alexandria database | GGA-PBE | optimized geometry; values from VASP
! uncorrected formation energy	-1643	meV per atom
! polymorph energy (0 for the lowest one)	0.00	kcal/mol of atoms
&SYSTEM
  ibrav = 0, nat = 6, ntyp = 3
/
ATOMIC_SPECIES
Ge 72.64 Ge.upf
Mg 24.30 Mg.upf
F 19.00 F.upf
CELL_PARAMETERS angstrom
-2.3742 1.9889 1.8955
-2.5080 -2.5919 -0.4218
2.1148 -2.9877 5.7838
ATOMIC_POSITIONS angstrom
Ge -0.3507 -2.5721 2.2596
Ge 0.0243 -0.7171 4.2610
Mg 0.5141 -3.7939 4.6248
Mg -0.8405 0.5047 1.8958
F 0.0000 0.0000 0.0000
F -2.4411 -0.3015 0.7368

---

2.
! Sc3Sb2Ir | the Alexandria database | GGA-PBE | optimized geometry; values from VASP
! uncorrected formation energy	-864	meV per atom
&SYSTEM
  ibrav = 0, nat = 24, ntyp = 3
/
ATOMIC_SPECIES
Sc 44.96 Sc.upf
Sb 121.76 Sb.upf
Ir 192.22 Ir.upf
CELL_PARAMETERS angstrom
4.2565 0.0000 0.0000
0.0000 11.0937 0.0000
0.0000 0.0000 11.4546
ATOMIC_POSITIONS angstrom
Sc 1.0641 4.1566 0.6418
Sc 3.1923 6.9370 10.8128
Sc 3.1923 9.7035 5.0855
Sc 1.0641 1.3902 6.3691
Sc 1.0641 7.8656 2.8761
Sc 3.1923 3.2281 8.5786
Sc 3.1923 2.3187 2.8512
Sc 1.0641 8.7750 8.6034
Sc 1.0641 5.0377 4.3904
Sc 3.1923 6.0560 7.0643
Sc 3.1923 10.5845 1.3369
Sc 1.0641 0.5092 10.1177
Sb 1.0641 7.8083 5.8936
Sb 3.1923 3.2854 5.5610
Sb 3.1923 2.2615 11.2884
Sb 1.0641 8.8322 0.1663
Sb 1.0641 0.0054 3.6108
Sb 3.1923 11.0883 7.8439
Sb 3.1923 5.5522 2.1165
Sb 1.0641 5.5415 9.3381
Ir 1.0641 1.4894 1.3487
Ir 3.1923 9.6043 10.1060
Ir 3.1923 7.0362 4.3787
Ir 1.0641 4.0575 7.0760

---

3.
! Ac2HoIn4 | the Alexandria database | GGA-PBE | optimized geometry; values from VASP
! formation energy	-0.2831	eV per atom
&SYSTEM
  ibrav = 0, nat = 7, ntyp = 3
/
ATOMIC_SPECIES
Ac 227.00 Ac.upf
Ho 164.93 Ho.upf
In 114.82 In.upf
CELL_PARAMETERS angstrom
5.2663 0.0002 -1.6788
-0.5349 5.2390 -1.6788
-0.1769 -0.1959 8.5452
ATOMIC_POSITIONS angstrom
Ac 3.4435 3.8132 1.7024
Ac 1.1110 1.2302 3.4852
Ho 0.0000 0.0000 0.0000
In 1.4745 4.5485 4.6254
In 4.3752 1.9291 4.6254
In 3.0799 0.4949 0.5622
In 0.1793 3.1143 0.5622

---

4.
! ReBNO2 | the Alexandria database | GGA-PBE | optimized geometry; values from VASP
! uncorrected formation energy	371	meV per atom
&SYSTEM
  ibrav = 0, nat = 5, ntyp = 4
/
ATOMIC_SPECIES
Re 186.21 Re.upf
B 10.81 B.upf
O 16.00 O.upf
N 14.01 N.upf
CELL_PARAMETERS angstrom
3.1556 0.0000 0.0000
0.0000 3.1556 0.0000
0.0000 0.0000 3.9488
ATOMIC_POSITIONS angstrom
Re 1.5778 1.5778 1.9744
B 0.0000 0.0000 0.0000
O 0.0000 1.5778 0.0000
O 1.5778 0.0000 0.0000
N 0.0000 0.0000 1.9744

---

Calculated E_tot, -4.34 -6.88 -3.68 -7.10 eV/atom (same order as the records).